Record 1
DFT (PBE) results for crystalline CuNiRu at its relaxed geometry.

Structure (CIF):
```
data_CuNiRu
_chemical_formula_sum 'Cu4 Ni4 Ru4'
_space_group_name_H-M_alt 'P 1'
_space_group_IT_number 1
_space_group_name_Hall 'P 1'
_cell_length_a 5.169
_cell_length_b 7.742
_cell_length_c 4.513
_cell_angle_alpha 90.00
_cell_angle_beta 124.91
_cell_angle_gamma 90.00
loop_
_atom_site_label
_atom_site_fract_x
_atom_site_fract_y
_atom_site_fract_z
_atom_site_occupancy
Ni1 0.750 0.089 0.250 1
Ni2 0.250 0.411 0.250 1
Ru1 0.250 0.574 0.750 1
Cu1 0.750 0.761 0.250 1
Ru2 0.250 0.074 0.250 1
Ru3 0.750 0.426 0.250 1
Cu2 0.750 0.261 0.750 1
Ni3 0.750 0.589 0.750 1
Ru4 0.750 0.926 0.750 1
Cu3 0.250 0.739 0.250 1
Cu4 0.250 0.239 0.750 1
Ni4 0.250 0.911 0.750 1
```

Results
- DOS(E_F) (states/eV/cell) = 15.93
- polymorph energy (0 for the lowest one) (meV per atom) = 32
- crystal system = monoclinic
- energy of formation from the pure elements (eV per atom) = 0.164
- magnetic moment (μB/cell) = 0.00



Record 2
DFT (PBE) results for crystalline Na3Zn2In7 at its relaxed geometry.

Structure (CIF):
```
data_Na3Zn2In7
_chemical_formula_sum 'Na3 Zn2 In7'
_space_group_name_H-M_alt 'P 1'
_space_group_IT_number 1
_space_group_name_Hall 'P 1'
_cell_length_a 4.617
_cell_length_b 4.894
_cell_length_c 14.366
_cell_angle_alpha 99.01
_cell_angle_beta 90.00
_cell_angle_gamma 90.00
loop_
_atom_site_label
_atom_site_fract_x
_atom_site_fract_y
_atom_site_fract_z
_atom_site_occupancy
Na1 0.500 0.500 0.000 1
In1 0.000 0.574 0.156 1
In2 0.500 0.081 0.162 1
In3 0.000 0.426 0.844 1
In4 0.000 0.000 0.000 1
Na2 0.000 0.183 0.360 1
Na3 0.000 0.817 0.640 1
In5 0.500 0.919 0.838 1
Zn1 0.500 0.370 0.737 1
Zn2 0.500 0.630 0.263 1
In6 0.500 0.273 0.551 1
In7 0.500 0.727 0.449 1
```

Results
- DOS(E_F) (states/eV/cell) = 3.97
- polymorph energy (0 for the lowest one) (meV per atom) = 0
- crystal system = monoclinic
- energy of formation from the pure elements (eV per atom) = -0.034
- magnetic moment (μB/cell) = 0.00



Record 3
DFT (PBE) results for crystalline MgGaCl at its relaxed geometry.

Structure (CIF):
```
data_MgGaCl
_chemical_formula_sum 'Mg2 Ga2 Cl2'
_space_group_name_H-M_alt 'P 1'
_space_group_IT_number 1
_space_group_name_Hall 'P 1'
_cell_length_a 3.375
_cell_length_b 3.372
_cell_length_c 15.771
_cell_angle_alpha 90.00
_cell_angle_beta 90.00
_cell_angle_gamma 120.03
loop_
_atom_site_label
_atom_site_fract_x
_atom_site_fract_y
_atom_site_fract_z
_atom_site_occupancy
Cl1 0.229 0.459 0.099 1
Ga1 0.659 0.318 0.644 1
Cl2 0.229 0.459 0.901 1
Mg1 0.327 0.653 0.500 1
Ga2 0.659 0.318 0.356 1
Mg2 0.563 0.126 0.000 1
```

Results
- DOS(E_F) (states/eV/cell) = 3.17
- crystal system = orthorhombic
- magnetic moment (μB/cell) = 0.00
- DFT total energy (eV/atom) = -2.82



Record 4
DFT (PBE) results for crystalline ZrZnSb2 at its relaxed geometry.

Structure (CIF):
```
data_ZrZnSb2
_chemical_formula_sum 'Zr1 Zn1 Sb2'
_space_group_name_H-M_alt 'P 1'
_space_group_IT_number 1
_space_group_name_Hall 'P 1'
_cell_length_a 3.935
_cell_length_b 3.935
_cell_length_c 6.020
_cell_angle_alpha 90.00
_cell_angle_beta 90.00
_cell_angle_gamma 90.00
loop_
_atom_site_label
_atom_site_fract_x
_atom_site_fract_y
_atom_site_fract_z
_atom_site_occupancy
Zr1 0.500 0.500 0.779 1
Sb1 0.500 0.500 0.307 1
Sb2 0.000 0.000 0.937 1
Zn1 0.000 0.000 0.477 1
```

Results
- DOS(E_F) (states/eV/cell) = 2.54
- crystal system = tetragonal
- magnetic moment (μB/cell) = 0.00
- DFT total energy (eV/atom) = -4.77



What did the second record say?
DFT (PBE) results for crystalline Na3Zn2In7 at its relaxed geometry.

Structure (CIF):
```
data_Na3Zn2In7
_chemical_formula_sum 'Na3 Zn2 In7'
_space_group_name_H-M_alt 'P 1'
_space_group_IT_number 1
_space_group_name_Hall 'P 1'
_cell_length_a 4.617
_cell_length_b 4.894
_cell_length_c 14.366
_cell_angle_alpha 99.01
_cell_angle_beta 90.00
_cell_angle_gamma 90.00
loop_
_atom_site_label
_atom_site_fract_x
_atom_site_fract_y
_atom_site_fract_z
_atom_site_occupancy
Na1 0.500 0.500 0.000 1
In1 0.000 0.574 0.156 1
In2 0.500 0.081 0.162 1
In3 0.000 0.426 0.844 1
In4 0.000 0.000 0.000 1
Na2 0.000 0.183 0.360 1
Na3 0.000 0.817 0.640 1
In5 0.500 0.919 0.838 1
Zn1 0.500 0.370 0.737 1
Zn2 0.500 0.630 0.263 1
In6 0.500 0.273 0.551 1
In7 0.500 0.727 0.449 1
```

Results
- DOS(E_F) (states/eV/cell) = 3.97
- polymorph energy (0 for the lowest one) (meV per atom) = 0
- crystal system = monoclinic
- energy of formation from the pure elements (eV per atom) = -0.034
- magnetic moment (μB/cell) = 0.00



What is the formula in the first record? CuNiRu